[1]
The following is a GGA-PBE calculation of a relaxed AlNi4Ir crystal, from the Alexandria database.

a b c (Å): 4.674 4.674 4.674
angles (deg): 60.00 60.00 60.00
Sites, in units of the cell vectors:
Al1 0.250 0.250 0.250
Ni1 0.625 0.625 0.124
Ni2 0.625 0.124 0.625
Ni3 0.625 0.625 0.625
Ni4 0.124 0.625 0.625
Ir1 0.000 0.000 0.000

Output
Calculated total energy, eV/atom: -6.06
Energy of formation from the pure elements, eV per atom: -0.11
Offset from the most stable computed form, eV per atom: 0.1543
Magnetization, μB per atom: 0.2663
DOS at the Fermi energy, states/eV/f.u.: 10.55



[2]
The following is a GGA-PBE calculation of a relaxed AlNi2Ir crystal, from the Alexandria database.

a b c (Å): 2.657 2.657 7.903
angles (deg): 90.00 90.00 112.38
Sites, in units of the cell vectors:
Ni1 0.000 0.000 0.012
Ni2 0.500 0.500 0.255
Ir1 0.500 0.500 0.745
Al1 0.000 0.000 0.488

Output
Calculated total energy, eV/atom: -6.12
Energy of formation from the pure elements, eV per atom: -0.08
Magnetization, μB per atom: 0.0001
DOS at the Fermi energy, states/eV/f.u.: 4.94



Q: Which value of magnetization does entry 1 give?
A: 0.2663 μB per atom



Please write out number 2 again, unchanged.
The following is a GGA-PBE calculation of a relaxed AlNi2Ir crystal, from the Alexandria database.

a b c (Å): 2.657 2.657 7.903
angles (deg): 90.00 90.00 112.38
Sites, in units of the cell vectors:
Ni1 0.000 0.000 0.012
Ni2 0.500 0.500 0.255
Ir1 0.500 0.500 0.745
Al1 0.000 0.000 0.488

Output
Calculated total energy, eV/atom: -6.12
Energy of formation from the pure elements, eV per atom: -0.08
Magnetization, μB per atom: 0.0001
DOS at the Fermi energy, states/eV/f.u.: 4.94